# SrMg2Tl3 (PBE, relaxed)
# **Symmetry**: Cmcm
# **Excess energy over the best structure of this formula in the dataset**: 25 meV per atom
data_SrMg2Tl3
_chemical_formula_sum 'Sr2 Mg4 Tl6'
_cell_length_a 7.318
_cell_length_b 7.318
_cell_length_c 6.696
_cell_angle_alpha 90.00
_cell_angle_beta 90.00
_cell_angle_gamma 78.00
_space_group_name_H-M_alt 'P 1'
_space_group_IT_number 1
loop_
_space_group_symop_operation_xyz
'x,y,z'
loop_
_atom_site_label
_atom_site_type_symbol
_atom_site_fract_x
_atom_site_fract_y
_atom_site_fract_z
_atom_site_occupancy
Sr1 Sr 0.144 0.856 0.750 1
Sr2 Sr 0.856 0.144 0.250 1
Mg1 Mg 0.278 0.278 0.000 1
Mg2 Mg 0.278 0.278 0.500 1
Mg3 Mg 0.722 0.722 0.000 1
Mg4 Mg 0.722 0.722 0.500 1
Tl1 Tl 0.063 0.634 0.250 1
Tl2 Tl 0.366 0.937 0.250 1
Tl3 Tl 0.500 0.500 0.250 1
Tl4 Tl 0.500 0.500 0.750 1
Tl5 Tl 0.634 0.063 0.750 1
Tl6 Tl 0.937 0.366 0.750 1



# AcPrGd2 (PBE, relaxed)
# **Symmetry**: Fm-3m
# **Excess energy over the best structure of this formula in the dataset**: 70 meV per atom
data_AcPrGd2
_chemical_formula_sum 'Ac1 Pr1 Gd2'
_cell_length_a 5.913
_cell_length_b 5.913
_cell_length_c 5.913
_cell_angle_alpha 60.00
_cell_angle_beta 60.00
_cell_angle_gamma 60.00
_space_group_name_H-M_alt 'P 1'
_space_group_IT_number 1
loop_
_space_group_symop_operation_xyz
'x,y,z'
loop_
_atom_site_label
_atom_site_type_symbol
_atom_site_fract_x
_atom_site_fract_y
_atom_site_fract_z
_atom_site_occupancy
Ac1 Ac 0.000 0.000 0.000 1
Pr1 Pr 0.500 0.500 0.500 1
Gd1 Gd 0.250 0.250 0.250 1
Gd2 Gd 0.750 0.750 0.750 1



# Th2ZnSn (PBE, relaxed)
# **Symmetry**: P2_1/m
# **DFT total energy**: -0.199 Ha/atom
data_Th2ZnSn
_chemical_formula_sum 'Th4 Zn2 Sn2'
_cell_length_a 6.259
_cell_length_b 4.235
_cell_length_c 8.899
_cell_angle_alpha 90.00
_cell_angle_beta 109.85
_cell_angle_gamma 90.00
_space_group_name_H-M_alt 'P 1'
_space_group_IT_number 1
loop_
_space_group_symop_operation_xyz
'x,y,z'
loop_
_atom_site_label
_atom_site_type_symbol
_atom_site_fract_x
_atom_site_fract_y
_atom_site_fract_z
_atom_site_occupancy
Th1 Th 0.202 0.250 0.418 1
Th2 Th 0.264 0.750 0.062 1
Th3 Th 0.736 0.250 0.938 1
Th4 Th 0.798 0.750 0.582 1
Zn1 Zn 0.138 0.250 0.787 1
Zn2 Zn 0.862 0.750 0.213 1
Sn1 Sn 0.370 0.750 0.713 1
Sn2 Sn 0.630 0.250 0.287 1



# Sr2RuPtN (PBE, relaxed)
# **ΔE_f (raw)**: -0.46 eV/atom
# **Symmetry**: P4/mmm
data_Sr2RuPtN
_chemical_formula_sum 'Sr2 Ru1 Pt1 N1'
_cell_length_a 5.317
_cell_length_b 5.317
_cell_length_c 3.799
_cell_angle_alpha 90.00
_cell_angle_beta 90.00
_cell_angle_gamma 90.00
_space_group_name_H-M_alt 'P 1'
_space_group_IT_number 1
loop_
_space_group_symop_operation_xyz
'x,y,z'
loop_
_atom_site_label
_atom_site_type_symbol
_atom_site_fract_x
_atom_site_fract_y
_atom_site_fract_z
_atom_site_occupancy
Sr1 Sr 0.000 0.500 0.000 1
Sr2 Sr 0.500 0.000 0.000 1
Ru1 Ru 0.000 0.000 0.500 1
Pt1 Pt 0.500 0.500 0.500 1
N1 N 0.000 0.000 0.000 1



# TlZnOs2 (PBE, relaxed)
# **Symmetry**: C2/m
# **Excess energy over the best structure of this formula in the dataset**: 314 meV per atom
data_TlZnOs2
_chemical_formula_sum 'Tl1 Zn1 Os2'
_cell_length_a 4.671
_cell_length_b 4.671
_cell_length_c 5.275
_cell_angle_alpha 99.57
_cell_angle_beta 99.57
_cell_angle_gamma 36.11
_space_group_name_H-M_alt 'P 1'
_space_group_IT_number 1
loop_
_space_group_symop_operation_xyz
'x,y,z'
loop_
_atom_site_label
_atom_site_type_symbol
_atom_site_fract_x
_atom_site_fract_y
_atom_site_fract_z
_atom_site_occupancy
Tl1 Tl 0.000 0.000 0.000 1
Zn1 Zn 0.500 0.500 0.500 1
Os1 Os 0.241 0.241 0.703 1
Os2 Os 0.759 0.759 0.297 1



# Tl3V5Te12 (PBE, relaxed)
# **ΔE_f (raw)**: -0.13 eV/atom
# **Symmetry**: Ia-3d
data_Tl3V5Te12
_chemical_formula_sum 'Tl12 V20 Te48'
_cell_length_a 15.008
_cell_length_b 15.008
_cell_length_c 15.008
_cell_angle_alpha 109.47
_cell_angle_beta 109.47
_cell_angle_gamma 109.47
_space_group_name_H-M_alt 'P 1'
_space_group_IT_number 1
loop_
_space_group_symop_operation_xyz
'x,y,z'
loop_
_atom_site_label
_atom_site_type_symbol
_atom_site_fract_x
_atom_site_fract_y
_atom_site_fract_z
_atom_site_occupancy
Tl1 Tl 0.125 0.250 0.375 1
Tl2 Tl 0.125 0.375 0.750 1
Tl3 Tl 0.250 0.375 0.125 1
Tl4 Tl 0.250 0.875 0.625 1
Tl5 Tl 0.375 0.125 0.250 1
Tl6 Tl 0.375 0.750 0.125 1
Tl7 Tl 0.625 0.250 0.875 1
Tl8 Tl 0.625 0.875 0.750 1
Tl9 Tl 0.750 0.125 0.375 1
Tl10 Tl 0.750 0.625 0.875 1
Tl11 Tl 0.875 0.625 0.250 1
Tl12 Tl 0.875 0.750 0.625 1
V1 V 0.000 0.000 0.000 1
V2 V 0.000 0.000 0.500 1
V3 V 0.000 0.500 0.000 1
V4 V 0.000 0.500 0.500 1
V5 V 0.125 0.750 0.875 1
V6 V 0.125 0.875 0.250 1
V7 V 0.250 0.125 0.875 1
V8 V 0.250 0.625 0.375 1
V9 V 0.375 0.250 0.625 1
V10 V 0.375 0.625 0.750 1
V11 V 0.500 0.000 0.000 1
V12 V 0.500 0.000 0.500 1
V13 V 0.500 0.500 0.000 1
V14 V 0.500 0.500 0.500 1
V15 V 0.625 0.375 0.250 1
V16 V 0.625 0.750 0.375 1
V17 V 0.750 0.375 0.625 1
V18 V 0.750 0.875 0.125 1
V19 V 0.875 0.125 0.750 1
V20 V 0.875 0.250 0.125 1
Te1 Te 0.013 0.197 0.106 1
Te2 Te 0.013 0.316 0.907 1
Te3 Te 0.090 0.697 0.684 1
Te4 Te 0.090 0.894 0.407 1
Te5 Te 0.093 0.606 0.410 1
Te6 Te 0.093 0.987 0.684 1
Te7 Te 0.106 0.013 0.197 1
Te8 Te 0.106 0.593 0.910 1
Te9 Te 0.184 0.197 0.590 1
Te10 Te 0.184 0.487 0.593 1
Te11 Te 0.197 0.106 0.013 1
Te12 Te 0.197 0.590 0.184 1
Te13 Te 0.303 0.316 0.910 1
Te14 Te 0.303 0.487 0.394 1
Te15 Te 0.316 0.907 0.013 1
Te16 Te 0.316 0.910 0.303 1
Te17 Te 0.394 0.303 0.487 1
Te18 Te 0.394 0.590 0.907 1
Te19 Te 0.407 0.090 0.894 1
Te20 Te 0.407 0.816 0.513 1
Te21 Te 0.410 0.093 0.606 1
Te22 Te 0.410 0.816 0.803 1
Te23 Te 0.487 0.394 0.303 1
Te24 Te 0.487 0.593 0.184 1
Te25 Te 0.513 0.407 0.816 1
Te26 Te 0.513 0.606 0.697 1
Te27 Te 0.590 0.184 0.197 1
Te28 Te 0.590 0.907 0.394 1
Te29 Te 0.593 0.184 0.487 1
Te30 Te 0.593 0.910 0.106 1
Te31 Te 0.606 0.410 0.093 1
Te32 Te 0.606 0.697 0.513 1
Te33 Te 0.684 0.090 0.697 1
Te34 Te 0.684 0.093 0.987 1
Te35 Te 0.697 0.513 0.606 1
Te36 Te 0.697 0.684 0.090 1
Te37 Te 0.803 0.410 0.816 1
Te38 Te 0.803 0.894 0.987 1
Te39 Te 0.816 0.513 0.407 1
Te40 Te 0.816 0.803 0.410 1
Te41 Te 0.894 0.407 0.090 1
Te42 Te 0.894 0.987 0.803 1
Te43 Te 0.907 0.013 0.316 1
Te44 Te 0.907 0.394 0.590 1
Te45 Te 0.910 0.106 0.593 1
Te46 Te 0.910 0.303 0.316 1
Te47 Te 0.987 0.684 0.093 1
Te48 Te 0.987 0.803 0.894 1